1.
KRe2Pb: relaxed, PBE-GGA.

abc: 4.7913 4.7913 4.7913
angles: 60.00 60.00 60.00
Closest atoms and distances in Å follow each position.
Sites, in units of the cell vectors:
Re1 0.2500 0.2500 0.2500  4 K 2.93, 4 Re 2.93
Pb1 0.7500 0.7500 0.7500  4 K 2.93, 4 Re 2.93
K1 0.5000 0.5000 0.5000  4 Pb 2.93, 4 Re 2.93
Re2 0.0000 0.0000 0.0000  4 Pb 2.93, 4 Re 2.93

Output
**Energy of formation from the pure elements**: 139.6 kJ per mole of atoms
**Symmetry**: F-43m, No. 216
**Uncorrected energy**: -5.978 eV per atom
**Total moment**: 0.00 μB per atom

2.
HAu2Br5: relaxed, PBE-GGA.

abc: 4.6947 7.1393 10.3488
angles: 69.82 79.03 90.00
Closest atoms and distances in Å follow each position.
Sites, in units of the cell vectors:
Br1 0.2755 0.7375 0.0227  2 Au 2.59
Br2 0.8993 0.1537 0.6926  1 H 1.44
Br3 0.6441 0.5843 0.3309  2 Au 2.59
Br4 0.6441 0.0848 0.3309  2 Au 2.59
Au1 0.9567 0.4117 0.1766  4 Br 2.59
Br5 0.2755 0.2398 0.0228  2 Au 2.59
H1 0.0695 0.0999 0.8002  1 Br 1.44
Au2 0.4582 0.9114 0.1773  4 Br 2.59

Output
**Symmetry**: Cm, No. 8
**Uncorrected energy**: -2.387 eV per atom
**Total moment**: 0.00 μB per atom

3.
NiPd12Au6: relaxed, PBE-GGA.

abc: 6.9249 7.5059 7.5059
angles: 69.01 72.09 107.91
Closest atoms and distances in Å follow each position.
Sites, in units of the cell vectors:
Au1 0.5832 0.5247 0.7886  9 Pd 2.82-2.89, 3 Au 2.84-2.86
Pd1 0.1013 0.3613 0.0503  6 Pd 2.76-2.93, 1 Ni 2.78, 5 Au 2.84-2.88
Pd2 0.6898 0.8977 0.8456  7 Pd 2.76-2.93, 1 Ni 2.78, 4 Au 2.82-2.89
Pd3 0.3102 0.1023 0.1544  7 Pd 2.76-2.93, 1 Ni 2.78, 4 Au 2.82-2.89
Ni1 0.0000 0.0000 0.0000  12 Pd 2.78
Pd4 0.4646 0.1544 0.7433  7 Pd 2.76-2.93, 1 Ni 2.78, 4 Au 2.82-2.89
Pd5 0.7400 0.5883 0.3613  6 Pd 2.76-2.93, 1 Ni 2.78, 5 Au 2.84-2.88
Au2 0.4168 0.4753 0.2114  9 Pd 2.82-2.89, 3 Au 2.84-2.86
Au3 0.9414 0.3132 0.4753  9 Pd 2.82-2.89, 3 Au 2.84-2.86
Au4 0.3718 0.7886 0.6868  9 Pd 2.82-2.89, 3 Au 2.84-2.86
Pd6 0.1517 0.0503 0.5883  6 Pd 2.76-2.93, 1 Ni 2.78, 5 Au 2.84-2.88
Au5 0.0586 0.6868 0.5247  9 Pd 2.82-2.89, 3 Au 2.84-2.86
Pd7 0.7921 0.2567 0.8977  7 Pd 2.76-2.93, 1 Ni 2.78, 4 Au 2.82-2.89
Pd8 0.8987 0.6387 0.9497  6 Pd 2.76-2.93, 1 Ni 2.78, 5 Au 2.84-2.88
Au6 0.6282 0.2114 0.3132  9 Pd 2.82-2.89, 3 Au 2.84-2.86
Pd9 0.8483 0.9497 0.4117  6 Pd 2.76-2.93, 1 Ni 2.78, 5 Au 2.84-2.88
Pd10 0.5354 0.8456 0.2567  7 Pd 2.76-2.93, 1 Ni 2.78, 4 Au 2.82-2.89
Pd11 0.2079 0.7433 0.1023  7 Pd 2.76-2.93, 1 Ni 2.78, 4 Au 2.82-2.89
Pd12 0.2600 0.4117 0.6387  6 Pd 2.76-2.93, 1 Ni 2.78, 5 Au 2.84-2.88

Output
**Energy of formation from the pure elements**: -2.5 kJ per mole of atoms
**Symmetry**: R-3, No. 148
**Uncorrected energy**: -4.645 eV per atom
**Total moment**: 0.15 μB per atom

4.
TlAgRuF6: relaxed, PBE-GGA.

abc: 6.1436 6.1451 5.3096
angles: 90.07 89.94 59.77
Closest atoms and distances in Å follow each position.
Sites, in units of the cell vectors:
F1 0.0634 0.3419 0.2961  1 Ru 1.96
F2 0.5945 0.3428 0.7040  1 Ru 1.96
F3 0.3427 0.5944 0.2959  1 Ru 1.96
Ru1 0.3334 0.3334 0.5000  6 F 1.96
F4 0.0610 0.5969 0.7027  1 Ru 1.96
Ag1 0.6659 0.6661 0.5000  6 F 2.49
F5 0.3419 0.0635 0.7040  1 Ru 1.96
F6 0.5969 0.0610 0.2973  1 Ru 1.96
Tl1 0.0001 0.0001 0.0000  6 F 2.80

Output
**Symmetry**: C2, No. 5
**Formation energy without anion corrections**: -14.78 eV per formula unit
**Uncorrected energy**: -4.500 eV per atom
**Total moment**: 0.22 μB per atom

5.
V2BPtI: relaxed, PBE-GGA.

abc: 4.8071 4.8896 4.8071
angles: 90.00 90.00 90.00
Closest atoms and distances in Å follow each position.
Sites, in units of the cell vectors:
Pt1 0.0000 0.5000 0.0000  2 I 2.44
V1 0.5000 0.0000 0.0000  2 I 2.40
B1 0.5000 0.5000 0.5000  4 Pt 3.40, 8 V 3.43
I1 0.0000 0.0000 0.0000  4 V 2.40, 2 Pt 2.44
V2 0.0000 0.0000 0.5000  2 I 2.40

Output
**Symmetry**: P4/mmm, No. 123
**Formation energy without anion corrections**: 11.77 eV per formula unit
**Uncorrected energy**: -4.148 eV per atom
**Total moment**: 0.01 μB per atom

6.
Pu2MoRh6: relaxed, PBE-GGA.

abc: 5.8608 5.5966 5.5966
angles: 60.00 90.00 90.00
Closest atoms and distances in Å follow each position.
Sites, in units of the cell vectors:
Rh1 0.3150 0.8257 0.8257  1 Mo 2.50, 4 Rh 2.67-2.75
Pu1 0.8245 0.6667 0.6667  9 Rh 2.92-3.26
Rh2 0.6850 0.1743 0.6515  1 Mo 2.50, 4 Rh 2.67-2.75
Pu2 0.1755 0.3333 0.3333  9 Rh 2.92-3.26
Rh3 0.3150 0.8257 0.3485  1 Mo 2.50, 4 Rh 2.67-2.75
Mo1 0.0000 0.0000 0.0000  6 Rh 2.50
Rh4 0.6850 0.6515 0.1743  1 Mo 2.50, 4 Rh 2.67-2.75
Rh5 0.6850 0.1743 0.1743  1 Mo 2.50, 4 Rh 2.67-2.75
Rh6 0.3150 0.3485 0.8257  1 Mo 2.50, 4 Rh 2.67-2.75

Output
**Energy of formation from the pure elements**: -24.2 kJ per mole of atoms
**Symmetry**: P-3m1, No. 164
**Uncorrected energy**: -9.540 eV per atom
**Total moment**: 0.90 μB per atom

7.
Ag3Cl: relaxed, PBE-GGA.

abc: 3.4437 4.1985 5.7298
angles: 90.00 90.00 90.00
Closest atoms and distances in Å follow each position.
Sites, in units of the cell vectors:
Ag1 0.0000 0.0000 0.9590  6 Ag 2.78-2.96, 2 Cl 2.92
Ag2 0.5000 0.5000 0.8547  6 Ag 2.77-2.78
Cl1 0.0000 0.5000 0.3143  8 Ag 2.92-3.15
Ag3 0.5000 0.0000 0.5387  4 Ag 2.77-2.96, 4 Cl 3.00

Output
**Symmetry**: Pmm2, No. 25
**Formation energy without anion corrections**: 0.03 eV per formula unit
**Excess energy over the best structure of this formula in the dataset**: 110 meV per atom
**Uncorrected energy**: -2.592 eV per atom
**Total moment**: 0.00 μB per atom

8.
Sc4CoAg: relaxed, PBE-GGA.

abc: 8.7841 8.7841 8.7841
angles: 60.00 60.00 60.00
Closest atoms and distances in Å follow each position.
Sites, in units of the cell vectors:
Sc1 0.8002 0.3999 0.3999  3 Co 2.58
Sc2 0.1877 0.8123 0.1877  2 Ag 2.94, 2 Co 3.17, 2 Sc 3.17
Sc3 0.9366 0.9366 0.5634  2 Co 2.56
Sc4 0.8123 0.1877 0.8123  2 Ag 2.94, 2 Co 3.17, 2 Sc 3.17
Co1 0.1778 0.6074 0.6074  6 Sc 2.56-2.58
Sc5 0.8123 0.1877 0.1877  2 Ag 2.94, 2 Co 3.17, 2 Sc 3.17
Co2 0.6074 0.1778 0.6074  6 Sc 2.56-2.58
Co3 0.6074 0.6074 0.1778  6 Sc 2.56-2.58
Ag1 0.1668 0.1668 0.1668  3 Ag 2.92, 9 Sc 2.94-3.21
Sc6 0.9366 0.5634 0.9366  2 Co 2.56
Sc7 0.9366 0.5634 0.5634  2 Co 2.56
Ag2 0.1668 0.4995 0.1668  3 Ag 2.92, 9 Sc 2.94-3.21
Sc8 0.5634 0.9366 0.9366  2 Co 2.56
Sc9 0.5634 0.9366 0.5634  2 Co 2.56
Ag3 0.1668 0.1668 0.4995  3 Ag 2.92, 9 Sc 2.94-3.21
Sc10 0.1877 0.1877 0.8123  2 Ag 2.94, 2 Co 3.17, 2 Sc 3.17
Sc11 0.1877 0.8123 0.8123  2 Ag 2.94, 2 Co 3.17, 2 Sc 3.17
Sc12 0.5634 0.5634 0.9366  2 Co 2.56
Ag4 0.4995 0.1668 0.1668  3 Ag 2.92, 9 Sc 2.94-3.21
Co4 0.6074 0.6074 0.6074  6 Sc 2.56-2.58
Sc13 0.8123 0.8123 0.1877  2 Ag 2.94, 2 Co 3.17, 2 Sc 3.17
Sc14 0.3999 0.3999 0.3999  3 Co 2.58
Sc15 0.3999 0.3999 0.8002  3 Co 2.58
Sc16 0.3999 0.8002 0.3999  3 Co 2.58

Output
**Energy of formation from the pure elements**: -26.3 kJ per mole of atoms
**Symmetry**: F-43m, No. 216
**Excess energy over the best structure of this formula in the dataset**: 0 meV per atom
**Uncorrected energy**: -6.153 eV per atom
**Total moment**: 0.00 μB per atom

Number 1: V 19.4 A^3/atom. Number 2: V 39.9 A^3/atom. Number 3: V 16.1 A^3/atom. Number 4: V 19.2 A^3/atom. Number 5: V 22.6 A^3/atom. Number 6: V 17.7 A^3/atom. Number 7: V 20.7 A^3/atom. Number 8: V 20.0 A^3/atom.